Here is an optimized crystal structure of RbTlSe2O6 from Alexandria. Energies are from PBE.

E_tot	-4.888	eV/atom
DOS(E_F)	0.321	states/eV/atom

Cell lengths 11.2359, 11.5767, 6.8695 Å; angles 90.00, 105.93, 90.00 degrees
Closest atoms and distances in Å follow each position.
Space group C2/c (No. 15)
Inequivalent atoms, fractional coordinates:
1 Rb 0.0000 0.1134 0.2500 (multiplicity 4)  6 O 2.86-2.99
2 Tl 0.0000 0.2983 0.7500 (multiplicity 4)  4 O 2.80-2.81
3 Se 0.2160 0.4231 0.2541 (multiplicity 8)  3 O 1.68-1.73
4 O 0.1301 0.1023 0.6842 (multiplicity 8)  1 Se 1.69
5 O 0.1397 0.3025 0.1581 (multiplicity 8)  1 Se 1.68
6 O 0.1813 0.4682 0.5745 (multiplicity 8)  1 Se 1.73